No. 1
# Sr2LaIn3 PBE optimized geometry
data_Sr2LaIn3
_space_group_name_H-M_alt 'C m m m'
_space_group_IT_number 65
_space_group_name_Hall '-C 2 2'
_cell_length_a 5.681
_cell_length_b 17.083
_cell_length_c 8.094
_cell_angle_alpha 90.00
_cell_angle_beta 90.00
_cell_angle_gamma 90.00
loop_
_atom_site_label
_atom_site_type_symbol
_atom_site_fract_x
_atom_site_fract_y
_atom_site_fract_z
Sr1 Sr 0.000 0.000 0.000
Sr2 Sr 0.000 0.000 0.500
Sr3 Sr 0.000 0.334 0.000
La1 La 0.000 0.339 0.500
In1 In 0.000 0.171 0.260
In2 In 0.000 0.500 0.251
# D(E_F) (states/eV per atom): 0.59
# ΔH_f (0 K) (eV per atom): -0.451
# E_tot (eV/cell): -76.9

***

No. 2
# SrCePm2 PBE optimized geometry
data_SrCePm2
_space_group_name_H-M_alt 'R -3 m'
_space_group_IT_number 166
_space_group_name_Hall '-R 3 2"'
_cell_length_a 4.2189
_cell_length_b 4.2189
_cell_length_c 30.7078
_cell_angle_alpha 90.00
_cell_angle_beta 90.00
_cell_angle_gamma 120.00
loop_
_atom_site_label
_atom_site_type_symbol
_atom_site_fract_x
_atom_site_fract_y
_atom_site_fract_z
Sr1 Sr 0.0000 0.0000 0.0000
Ce1 Ce 0.0000 0.0000 0.5000
Pm1 Pm 0.0000 0.0000 0.1163
# D(E_F) (states/eV per atom): 1.73
# ΔH_f (0 K) (eV per atom): 0.730
# E_tot (eV/cell): -42.6
# Energy above the lowest structure with this stoichiometry (meV per atom): 605

***

No. 3
# RbAl2Br8 PBE optimized geometry
data_RbAl2Br8
_space_group_name_H-M_alt 'C 1 2/m 1'
_space_group_IT_number 12
_space_group_name_Hall '-C 2y'
_cell_length_a 15.873
_cell_length_b 8.907
_cell_length_c 7.540
_cell_angle_alpha 90.00
_cell_angle_beta 109.13
_cell_angle_gamma 90.00
loop_
_atom_site_label
_atom_site_type_symbol
_atom_site_fract_x
_atom_site_fract_y
_atom_site_fract_z
Rb1 Rb 0.000 0.000 0.000
Al1 Al 0.179 0.000 0.670
Br1 Br 0.098 0.211 0.707
Br2 Br 0.187 0.500 0.086
Br3 Br 0.199 0.000 0.381
# D(E_F) (states/eV per atom): 0.82
# E_tot (eV/cell): -67.9
# Energy above the lowest structure with this stoichiometry (meV per atom): 0
# Formation energy from raw total energies (eV per atom): -1.100

***

No. 4
# Sr3GeP2Pt8 PBE optimized geometry
data_Sr3GeP2Pt8
_space_group_name_H-M_alt 'P -3 m 1'
_space_group_IT_number 164
_space_group_name_Hall '-P 3 2"'
_cell_length_a 6.4104
_cell_length_b 6.4104
_cell_length_c 9.6062
_cell_angle_alpha 90.00
_cell_angle_beta 90.00
_cell_angle_gamma 120.00
loop_
_atom_site_label
_atom_site_type_symbol
_atom_site_fract_x
_atom_site_fract_y
_atom_site_fract_z
Sr1 Sr 0.0000 0.0000 0.0000
Sr2 Sr 0.3333 0.6667 0.6008
Ge1 Ge 0.0000 0.0000 0.5000
P1 P 0.3333 0.6667 0.2317
Pt1 Pt 0.1425 0.2851 0.3008
Pt2 Pt 0.3333 0.6667 0.0060
# D(E_F) (states/eV per atom): 0.27
# ΔH_f (0 K) (eV per atom): -0.533
# E_tot (eV/cell): -76.3